Entry A
The following is a DFT calculation (meta-GGA SCAN) of a crystal of MnCdN2F relaxed with PBEsol.

Unit cell a=3.637 b=3.637 c=4.039 alpha=90.00 beta=90.00 gamma=90.00
Fractional coordinates of all 5 atoms:
Mn  0.000  0.000  0.000
Cd  0.500  0.500  0.500
N  0.000  0.500  0.000
N  0.500  0.000  0.000
F  0.000  0.000  0.500

Values from the calculation:
Mass density = 6.66 g cm⁻³
DOS at the Fermi energy = 2.30 states/eV per cell

Entry B
The following is a DFT calculation (meta-GGA SCAN) of a crystal of MnCdN2F relaxed with PBEsol.

Unit cell a=4.144 b=4.144 c=4.229 alpha=90.00 beta=90.00 gamma=90.00
Fractional coordinates of all 5 atoms:
Mn  0.000  0.000  0.000
Cd  0.500  0.500  0.500
N  0.000  0.500  0.500
N  0.500  0.000  0.500
F  0.500  0.500  0.000

Values from the calculation:
Mass density = 4.90 g cm⁻³
DOS at the Fermi energy = 2.11 states/eV per cell

Preferred: entry A; penalty for the next structure: 89.3 kJ/mol of atoms.

Entry A
The following is a DFT calculation (meta-GGA SCAN) of a crystal of CdPNF2 relaxed with PBEsol.

Unit cell a=4.158 b=4.158 c=4.484 alpha=90.00 beta=90.00 gamma=90.00
Fractional coordinates of all 5 atoms:
Cd  0.000  0.000  0.000
P  0.500  0.500  0.500
N  0.000  0.000  0.500
F  0.000  0.500  0.000
F  0.500  0.000  0.000

Values from the calculation:
Mass density = 4.19 g cm⁻³
DOS at the Fermi energy = 2.11 states/eV per cell

Entry B
The following is a DFT calculation (meta-GGA SCAN) of a crystal of CdPNF2 relaxed with PBEsol.

Unit cell a=4.456 b=4.456 c=3.275 alpha=90.00 beta=90.00 gamma=90.00
Fractional coordinates of all 5 atoms:
Cd  0.000  0.000  0.000
P  0.500  0.500  0.500
N  0.500  0.500  0.000
F  0.000  0.500  0.500
F  0.500  0.000  0.500

Values from the calculation:
Mass density = 4.99 g cm⁻³
DOS at the Fermi energy = 1.94 states/eV per cell

Preferred: entry B; penalty for the next structure: 69.6 kJ/mol of atoms.

Entry A
The following is a DFT calculation (meta-GGA SCAN) of a crystal of CdP2SF relaxed with PBEsol.

Unit cell a=4.000 b=4.000 c=5.587 alpha=90.00 beta=90.00 gamma=90.00
Fractional coordinates of all 5 atoms:
Cd  0.000  0.000  0.000
P  0.000  0.500  0.500
P  0.500  0.000  0.500
S  0.500  0.500  0.000
F  0.500  0.500  0.500

Values from the calculation:
Mass density = 4.19 g cm⁻³
DOS at the Fermi energy = 3.99 states/eV per cell

Entry B
The following is a DFT calculation (meta-GGA SCAN) of a crystal of CdP2SF relaxed with PBEsol.

Unit cell a=4.923 b=4.923 c=4.802 alpha=90.00 beta=90.00 gamma=90.00
Fractional coordinates of all 5 atoms:
Cd  0.000  0.000  0.000
P  0.000  0.500  0.000
P  0.500  0.000  0.000
S  0.000  0.000  0.500
F  0.500  0.500  0.500

Values from the calculation:
Mass density = 3.22 g cm⁻³
DOS at the Fermi energy = 3.39 states/eV per cell

Preferred: entry A; penalty for the next structure: 52.7 kJ/mol of atoms.

Entry A
The following is a DFT calculation (meta-GGA SCAN) of a crystal of CdPdF2 relaxed with PBEsol.

Unit cell a=7.872 b=7.872 c=7.872 alpha=22.36 beta=22.36 gamma=22.36
Fractional coordinates of all 4 atoms:
Cd  0.000  0.000  0.000
Pd  0.500  0.500  0.500
F  0.104  0.104  0.104
F  0.896  0.896  0.896

Values from the calculation:
Mass density = 6.89 g cm⁻³
DOS at the Fermi energy = 2.98 states/eV per cell

Entry B
The following is a DFT calculation (meta-GGA SCAN) of a crystal of CdPdF2 relaxed with PBEsol.

Unit cell a=4.178 b=4.178 c=4.178 alpha=60.00 beta=60.00 gamma=60.00
Fractional coordinates of all 4 atoms:
Cd  0.000  0.000  0.000
Pd  0.500  0.500  0.500
F  0.250  0.250  0.250
F  0.750  0.750  0.750

Values from the calculation:
Mass density = 8.27 g cm⁻³
DOS at the Fermi energy = 4.01 states/eV per cell

Preferred: entry B; penalty for the next structure: 9.0 kJ/mol of atoms.